# SbPCO2

SbPCO2 at its PBEsol-relaxed geometry (SCAN, Alexandria via LeMat-Bulk).

Results
formation energy from raw total energies: 86 kJ/mol of atoms
uncorrected energy: -13.150 eV/atom
space-group type: P4/mmm (123)

The structure in CIF format:
```
data_SbPCO2
_space_group_name_H-M_alt 'P 1'
_space_group_IT_number 1
_space_group_name_Hall 'P 1'
_cell_length_a 3.7542
_cell_length_b 3.7542
_cell_length_c 5.3895
_cell_angle_alpha 90.00
_cell_angle_beta 90.00
_cell_angle_gamma 90.00
loop_
_atom_site_label
_atom_site_fract_x
_atom_site_fract_y
_atom_site_fract_z
O1 0.0000 0.5000 0.0000
O2 0.5000 0.0000 0.0000
Sb1 0.0000 0.0000 0.0000
P1 0.0000 0.0000 0.5000
C1 0.5000 0.5000 0.5000
```